## CoMoAs2 (PBE-GGA)

Data for a relaxed structure of CoMoAs2.

As for the calculated total energy: -101.37 eV for the cell shown. Its crystal system is cubic. The spin magnetization is 5.1 μB per cell.

It has space group F-43m (No. 216), with a = 6.2289 Å, b = 6.2289 Å, c = 6.2289 Å, α = 90.00°, β = 90.00° and γ = 90.00°. The asymmetric unit holds Co at (0.0000, 0.0000, 0.0000), Mo at (0.2500, 0.2500, 0.7500), As at (0.0000, 0.0000, 0.5000) and As at (0.2500, 0.2500, 0.2500).